Density functional theory data (GGA-PBE) for a geometry-optimized Ca3MnBr8 structure.

Geometry as POSCAR:
```
Ca3MnBr8
1.0
8.3707 0.0000 0.0000
-4.1853 5.9402 -4.1567
0.0000 -0.0233 8.5409
Br Mn Ca
8 1 3
Cartesian
4.1853 2.8918 -0.0804
4.1853 3.1712 4.4284
1.9647 0.0255 6.6325
0.0000 3.0251 4.4646
0.0000 2.7457 -0.0442
6.4060 0.0255 6.6325
-2.2207 5.8914 -2.2483
2.2207 5.8914 -2.2483
0.0000 0.0000 0.0000
4.1853 0.0000 0.0000
2.0927 2.9701 -2.0784
-2.0927 2.9701 -2.0784
```

## Properties
The value obtained for the formation energy (no corrections) is -1.72 eV/atom. Its uncorrected energy is -49.18 eV for the cell shown. As for the space group: No. 12. Its crystal system is monoclinic. As for the magnetization: 5.00 μB/cell.